No. 1
Entry from Alexandria: a relaxed BaSr2BeP crystal (PBE-GGA).

Geometry as CIF:
```
data_BaSr2BeP
_chemical_formula_sum 'Ba1 Sr2 Be1 P1'
_space_group_name_H-M_alt 'P 4/m m m'
_space_group_IT_number 123
_space_group_name_Hall '-P 4 2'
_cell_length_a 6.884
_cell_length_b 6.884
_cell_length_c 5.540
_cell_angle_alpha 90.00
_cell_angle_beta 90.00
_cell_angle_gamma 90.00
loop_
_atom_site_label
_atom_site_type_symbol
_atom_site_fract_x
_atom_site_fract_y
_atom_site_fract_z
Ba1 Ba 0.000 0.000 0.000
Sr1 Sr 0.000 0.500 0.000
Be1 Be 0.500 0.500 0.500
P1 P 0.000 0.000 0.500
```

Output
Calculated formation energy   1.150 eV/atom

No. 2
Entry from Alexandria: a relaxed TbNd6Ho2Er3 crystal (PBE-GGA).

Geometry as CIF:
```
data_TbNd6Ho2Er3
_chemical_formula_sum 'Tb2 Nd12 Ho4 Er6'
_space_group_name_H-M_alt 'C 1 2/m 1'
_space_group_IT_number 12
_cell_length_a 6.259
_cell_length_b 10.838
_cell_length_c 11.808
_cell_angle_alpha 90.00
_cell_angle_beta 100.14
_cell_angle_gamma 90.00
loop_
_space_group_symop_operation_xyz
'x,y,z'
'-x,-y,-z'
'-x,y,-z'
'x,-y,z'
'x+1/2,y+1/2,z'
'-x+1/2,-y+1/2,-z'
'-x+1/2,y+1/2,-z'
'x+1/2,-y+1/2,z'
loop_
_atom_site_label
_atom_site_type_symbol
_atom_site_fract_x
_atom_site_fract_y
_atom_site_fract_z
Tb1 Tb 0.000 0.000 0.000
Nd1 Nd 0.249 0.333 0.749
Nd2 Nd 0.250 0.000 0.749
Ho1 Ho 0.000 0.333 0.000
Er1 Er 0.000 0.167 0.500
Er2 Er 0.000 0.500 0.500
```

Output
Calculated formation energy   0.012 eV/atom

No. 3
Entry from Alexandria: a relaxed DyPdAu crystal (PBE-GGA).

Geometry as CIF:
```
data_DyPdAu
_chemical_formula_sum 'Dy4 Pd4 Au4'
_space_group_name_H-M_alt 'C m c m'
_space_group_IT_number 63
_space_group_name_Hall '-C 2c 2'
_cell_length_a 5.040
_cell_length_b 8.456
_cell_length_c 5.697
_cell_angle_alpha 90.00
_cell_angle_beta 90.00
_cell_angle_gamma 90.00
loop_
_atom_site_label
_atom_site_type_symbol
_atom_site_fract_x
_atom_site_fract_y
_atom_site_fract_z
Dy1 Dy 0.000 0.162 0.250
Pd1 Pd 0.000 0.179 0.750
Au1 Au 0.000 0.500 0.000
```

Output
Polymorph energy (0 for the lowest one)   40 meV per atom
Calculated formation energy   -0.815 eV/atom

No. 4
Entry from Alexandria: a relaxed La2YBi crystal (PBE-GGA).

Geometry as CIF:
```
data_La2YBi
_chemical_formula_sum 'La6 Y3 Bi3'
_space_group_name_H-M_alt 'R -3 m'
_space_group_IT_number 166
_space_group_name_Hall '-R 3 2"'
_cell_length_a 3.6226
_cell_length_b 3.6226
_cell_length_c 37.7953
_cell_angle_alpha 90.00
_cell_angle_beta 90.00
_cell_angle_gamma 120.00
loop_
_atom_site_label
_atom_site_type_symbol
_atom_site_fract_x
_atom_site_fract_y
_atom_site_fract_z
La1 La 0.0000 0.0000 0.0877
Y1 Y 0.0000 0.0000 0.5000
Bi1 Bi 0.0000 0.0000 0.0000
```

Output
Calculated formation energy   0.003 eV/atom

No. 5
Entry from Alexandria: a relaxed V2CoSe6 crystal (PBE-GGA).

Geometry as CIF:
```
data_V2CoSe6
_chemical_formula_sum 'V4 Co2 Se12'
_space_group_name_H-M_alt 'P 42/m n m'
_space_group_IT_number 136
_space_group_name_Hall '-P 4n 2n'
_cell_length_a 5.838
_cell_length_b 5.838
_cell_length_c 10.499
_cell_angle_alpha 90.00
_cell_angle_beta 90.00
_cell_angle_gamma 90.00
loop_
_atom_site_label
_atom_site_type_symbol
_atom_site_fract_x
_atom_site_fract_y
_atom_site_fract_z
V1 V 0.000 0.000 0.150
Co1 Co 0.000 0.000 0.500
Se1 Se 0.192 0.192 0.329
Se2 Se 0.217 0.217 0.000
```

Output
Uncorrected formation energy   -353 kJ/mol of formula units

No. 6
Entry from Alexandria: a relaxed Cr4Pt crystal (PBE-GGA).

Geometry as CIF:
```
data_Cr4Pt
_chemical_formula_sum 'Cr8 Pt2'
_space_group_name_H-M_alt 'I 4/m'
_space_group_IT_number 87
_space_group_name_Hall '-I 4'
_cell_length_a 6.541
_cell_length_b 6.541
_cell_length_c 2.905
_cell_angle_alpha 90.00
_cell_angle_beta 90.00
_cell_angle_gamma 90.00
loop_
_atom_site_label
_atom_site_type_symbol
_atom_site_fract_x
_atom_site_fract_y
_atom_site_fract_z
Cr1 Cr 0.115 0.321 0.000
Pt1 Pt 0.000 0.000 0.500
```

Output
Polymorph energy (0 for the lowest one)   0 meV per atom
Calculated formation energy   0.036 eV/atom

No. 7
Entry from Alexandria: a relaxed CeGdThSn crystal (PBE-GGA).

Geometry as CIF:
```
data_CeGdThSn
_chemical_formula_sum 'Ce4 Gd4 Th4 Sn4'
_space_group_name_H-M_alt 'F -4 3 m'
_space_group_IT_number 216
_space_group_name_Hall 'F -4 2 3'
_cell_length_a 7.723
_cell_length_b 7.723
_cell_length_c 7.723
_cell_angle_alpha 90.00
_cell_angle_beta 90.00
_cell_angle_gamma 90.00
loop_
_atom_site_label
_atom_site_type_symbol
_atom_site_fract_x
_atom_site_fract_y
_atom_site_fract_z
Ce1 Ce 0.000 0.000 0.000
Gd1 Gd 0.250 0.250 0.750
Th1 Th 0.250 0.250 0.250
Sn1 Sn 0.000 0.000 0.500
```

Output
Calculated formation energy   -0.133 eV/atom

No. 8
Entry from Alexandria: a relaxed K6Ti2S6O crystal (PBE-GGA).

Geometry as CIF:
```
data_K6Ti2S6O
_chemical_formula_sum 'K24 Ti8 S24 O4'
_space_group_name_H-M_alt 'P 1 21/c 1'
_space_group_IT_number 14
_cell_length_a 13.469
_cell_length_b 10.467
_cell_length_c 13.175
_cell_angle_alpha 90.00
_cell_angle_beta 106.09
_cell_angle_gamma 90.00
loop_
_space_group_symop_operation_xyz
'x,y,z'
'-x,-y,-z'
'-x,y+1/2,-z+1/2'
'x,-y+1/2,z+1/2'
loop_
_atom_site_label
_atom_site_type_symbol
_atom_site_fract_x
_atom_site_fract_y
_atom_site_fract_z
K1 K 0.005 0.156 0.393
K2 K 0.089 0.025 0.157
K3 K 0.200 0.736 0.437
K4 K 0.285 0.215 0.582
K5 K 0.406 0.547 0.833
K6 K 0.468 0.168 0.897
Ti1 Ti 0.179 0.132 0.791
Ti2 Ti 0.339 0.609 0.219
S1 S 0.037 0.149 0.650
S2 S 0.140 0.059 0.937
S3 S 0.224 0.729 0.699
S4 S 0.248 0.172 0.332
S5 S 0.375 0.576 0.064
S6 S 0.490 0.648 0.344
O1 O 0.284 0.041 0.756
```

Output
Uncorrected formation energy   -2222 kJ/mol of formula units

| no. | calculated total energy (Ha/atom) |
| --- | --- |
| 1 | -0.0637 |
| 2 | -0.1713 |
| 3 | -0.1901 |
| 4 | -0.1855 |
| 5 | -0.2038 |
| 6 | -0.3260 |
| 7 | -0.2937 |
| 8 | -0.1840 |